1.
{"formula": "SrAcN4", "functional": "PBE-GGA", "state": "relaxed", "lattice_angstrom": [[3.7405, 0.0000, 1.0819], [1.8205, 3.7610, 0.7129], [0.0586, 0.0418, 6.8046]], "species": ["Sr", "Ac", "N", "N", "N", "N"], "frac_coords": [[0.5000, 0.5000, 0.5000], [0.0000, 0.0000, 0.0000], [0.7984, 0.5999, 0.8032], [0.3041, 0.0945, 0.2973], [0.2016, 0.4001, 0.1968], [0.6959, 0.9055, 0.7027]], "dos_at_fermi_per_ev_fu": 3.8, "total_energy_ev_per_cell": -42.6, "e_form_raw_mev_per_atom": -590}



2.
{"formula": "P2AuCl", "functional": "PBE-GGA", "state": "relaxed", "lattice_angstrom": [[-2.9277, 2.8989, 3.7236], [-4.8421, 2.5070, 1.0532], [-0.2086, -6.8041, 1.1481]], "species": ["Au", "Cl", "P", "P"], "frac_coords": [[0.4762, 0.4762, 0.5110], [0.2344, 0.2344, 0.2725], [0.0986, 0.0986, 0.9171], [0.6908, 0.6908, 0.7995]], "total_energy_ev_per_cell": -16.0, "e_form_raw_mev_per_atom": -5}



3.
{"formula": "CuNiSe2", "functional": "PBE-GGA", "state": "relaxed", "lattice_angstrom": [[6.7391, 0.0000, 0.0000], [0.0000, 6.7391, 0.0000], [3.3695, 3.3695, 2.7881]], "species": ["Ni", "Ni", "Cu", "Cu", "Se", "Se", "Se", "Se"], "frac_coords": [[0.7500, 0.7500, 0.5000], [0.2500, 0.2500, 0.5000], [0.7500, 0.2500, 0.5000], [0.2500, 0.7500, 0.5000], [0.7821, 0.2821, 0.0000], [0.2179, 0.7179, 0.0000], [0.2821, 0.2179, 0.0000], [0.7179, 0.7821, 0.0000]], "dos_at_fermi_per_ev_fu": 2.4, "total_energy_ev_per_cell": -32.0, "e_form_raw_mev_per_atom": 214}



4.
{"formula": "K3ScI", "functional": "PBE-GGA", "state": "relaxed", "lattice_angstrom": [[6.6961, 0.0000, 0.0000], [0.0000, 6.6961, 0.0000], [0.0000, 0.0000, 6.6961]], "species": ["I", "Sc", "K", "K", "K"], "frac_coords": [[0.0000, 0.0000, 0.0000], [0.5000, 0.5000, 0.5000], [0.0000, 0.5000, 0.0000], [0.0000, 0.0000, 0.5000], [0.5000, 0.0000, 0.0000]], "dos_at_fermi_per_ev_fu": 7.1, "total_energy_ev_per_cell": -10.9, "e_form_raw_mev_per_atom": 61}



5.
{"formula": "KTmSnCl6", "functional": "PBE-GGA", "state": "relaxed", "lattice_angstrom": [[-0.5325, 3.7943, -6.0892], [4.5454, -1.2592, -5.4324], [-4.2826, -4.6287, -2.5098]], "species": ["K", "Tm", "Sn", "Cl", "Cl", "Cl", "Cl", "Cl", "Cl"], "frac_coords": [[0.0000, 0.0000, 0.0000], [0.3333, 0.3333, 0.5000], [0.6666, 0.6667, 0.5000], [0.0254, 0.3524, 0.2789], [0.3524, 0.0255, 0.7210], [0.6221, 0.3524, 0.7210], [0.0254, 0.6221, 0.7211], [0.3524, 0.6221, 0.2789], [0.6221, 0.0254, 0.2789]], "dos_at_fermi_per_ev_fu": 0.0, "total_energy_ev_per_cell": -37.0, "e_form_raw_mev_per_atom": -1821}



6.
{"formula": "CaSbIr2", "functional": "PBE-GGA", "state": "relaxed", "lattice_angstrom": [[-3.1229, 2.5786, 2.6980], [-2.1427, -3.5571, 2.5369], [4.7874, 0.7761, -0.3966]], "species": ["Sb", "Ca", "Ir", "Ir"], "frac_coords": [[0.7500, 0.2500, 0.5000], [0.2500, 0.7500, 0.5000], [0.9999, 0.9999, 0.0000], [0.5001, 0.5001, 0.0000]], "dos_at_fermi_per_ev_fu": 0.9, "total_energy_ev_per_cell": -24.5, "e_form_raw_mev_per_atom": -158}